#1
# TcTeW2, single point on PBEsol structure, DFT SCAN
# - magnetization (μB/f.u.) = 0.0
# - DOS(E_F) (states/eV per cell) = 3.0
data_TcTeW2
_cell_length_a 3.162
_cell_length_b 4.480
_cell_length_c 4.597
_cell_angle_alpha 90.00
_cell_angle_beta 90.00
_cell_angle_gamma 90.00
_symmetry_space_group_name_H-M 'P 1'
_symmetry_Int_Tables_number 1
loop_
_symmetry_equiv_pos_as_xyz
'x,y,z'
loop_
_atom_site_label
_atom_site_fract_x
_atom_site_fract_y
_atom_site_fract_z
Te1 0.000 0.500 0.500
W1 0.000 0.000 0.000
W2 0.500 0.500 0.000
Tc1 0.500 0.000 0.500

---

#2
# TcTeW2, single point on PBEsol structure, DFT SCAN
# - magnetization (μB/f.u.) = 0.0
# - DOS(E_F) (states/eV per cell) = 2.9
data_TcTeW2
_cell_length_a 2.851
_cell_length_b 2.851
_cell_length_c 9.143
_cell_angle_alpha 90.00
_cell_angle_beta 90.00
_cell_angle_gamma 111.84
_symmetry_space_group_name_H-M 'P 1'
_symmetry_Int_Tables_number 1
loop_
_symmetry_equiv_pos_as_xyz
'x,y,z'
loop_
_atom_site_label
_atom_site_fract_x
_atom_site_fract_y
_atom_site_fract_z
Te1 0.500 0.500 0.254
W1 0.000 0.000 0.976
W2 0.500 0.500 0.745
Tc1 0.000 0.000 0.525

---

#3
# TcTeW2, single point on PBEsol structure, DFT SCAN
# - magnetization (μB/f.u.) = 0.0
# - DOS(E_F) (states/eV per cell) = 2.9
data_TcTeW2
_cell_length_a 3.034
_cell_length_b 4.137
_cell_length_c 5.315
_cell_angle_alpha 90.00
_cell_angle_beta 90.00
_cell_angle_gamma 90.00
_symmetry_space_group_name_H-M 'P 1'
_symmetry_Int_Tables_number 1
loop_
_symmetry_equiv_pos_as_xyz
'x,y,z'
loop_
_atom_site_label
_atom_site_fract_x
_atom_site_fract_y
_atom_site_fract_z
Tc1 0.500 0.000 0.488
Te1 0.000 0.500 0.742
W1 0.500 0.000 0.025
W2 0.000 0.500 0.245

---

Of them, #2 has the lowest stability.

---

#1
# Zr3TcTe, single point on PBEsol structure, DFT SCAN
# - magnetization (μB/f.u.) = 0.0
# - DOS(E_F) (states/eV per cell) = 5.8
data_Zr3TcTe
_cell_length_a 4.938
_cell_length_b 4.938
_cell_length_c 4.938
_cell_angle_alpha 90.00
_cell_angle_beta 90.00
_cell_angle_gamma 90.00
_symmetry_space_group_name_H-M 'P 1'
_symmetry_Int_Tables_number 1
loop_
_symmetry_equiv_pos_as_xyz
'x,y,z'
loop_
_atom_site_label
_atom_site_fract_x
_atom_site_fract_y
_atom_site_fract_z
Zr1 0.000 0.500 0.000
Zr2 0.500 0.000 0.000
Zr3 0.000 0.000 0.500
Te1 0.500 0.500 0.500
Tc1 0.000 0.000 0.000

---

#2
# Zr3TcTe, single point on PBEsol structure, DFT SCAN
# - magnetization (μB/f.u.) = 2.3
# - DOS(E_F) (states/eV per cell) = 3.9
data_Zr3TcTe
_cell_length_a 5.120
_cell_length_b 5.120
_cell_length_c 5.120
_cell_angle_alpha 90.00
_cell_angle_beta 90.00
_cell_angle_gamma 90.00
_symmetry_space_group_name_H-M 'P 1'
_symmetry_Int_Tables_number 1
loop_
_symmetry_equiv_pos_as_xyz
'x,y,z'
loop_
_atom_site_label
_atom_site_fract_x
_atom_site_fract_y
_atom_site_fract_z
Zr1 0.000 0.500 0.000
Zr2 0.000 0.000 0.500
Zr3 0.500 0.000 0.000
Tc1 0.500 0.500 0.500
Te1 0.000 0.000 0.000

---

Of them, #2 has the lowest stability.

---

#1
# ZrTcTe2, single point on PBEsol structure, DFT SCAN
# - magnetization (μB/f.u.) = 0.0
# - DOS(E_F) (states/eV per cell) = 2.5
data_ZrTcTe2
_cell_length_a 3.252
_cell_length_b 3.252
_cell_length_c 8.484
_cell_angle_alpha 90.00
_cell_angle_beta 90.00
_cell_angle_gamma 90.00
_symmetry_space_group_name_H-M 'P 1'
_symmetry_Int_Tables_number 1
loop_
_symmetry_equiv_pos_as_xyz
'x,y,z'
loop_
_atom_site_label
_atom_site_fract_x
_atom_site_fract_y
_atom_site_fract_z
Zr1 0.000 0.000 0.536
Te1 0.000 0.000 0.918
Te2 0.500 0.500 0.298
Tc1 0.500 0.500 0.748

---

#2
# ZrTcTe2, single point on PBEsol structure, DFT SCAN
# - magnetization (μB/f.u.) = 0.0
# - DOS(E_F) (states/eV per cell) = 2.3
data_ZrTcTe2
_cell_length_a 3.404
_cell_length_b 4.402
_cell_length_c 6.149
_cell_angle_alpha 101.55
_cell_angle_beta 90.00
_cell_angle_gamma 112.75
_symmetry_space_group_name_H-M 'P 1'
_symmetry_Int_Tables_number 1
loop_
_symmetry_equiv_pos_as_xyz
'x,y,z'
loop_
_atom_site_label
_atom_site_fract_x
_atom_site_fract_y
_atom_site_fract_z
Tc1 0.500 0.000 0.000
Zr1 0.000 0.000 0.500
Te1 0.245 0.490 0.223
Te2 0.755 0.510 0.777

---

Of them, #2 has the lowest stability.

---

#1
# Tl2ZnTc, single point on PBEsol structure, DFT SCAN
# - magnetization (μB/f.u.) = 1.4
# - DOS(E_F) (states/eV per cell) = 1.6
data_Tl2ZnTc
_cell_length_a 3.081
_cell_length_b 4.855
_cell_length_c 5.607
_cell_angle_alpha 108.45
_cell_angle_beta 105.95
_cell_angle_gamma 90.00
_symmetry_space_group_name_H-M 'P 1'
_symmetry_Int_Tables_number 1
loop_
_symmetry_equiv_pos_as_xyz
'x,y,z'
loop_
_atom_site_label
_atom_site_fract_x
_atom_site_fract_y
_atom_site_fract_z
Zn1 0.464 0.519 0.927
Tl1 0.024 0.068 0.049
Tl2 0.238 0.700 0.477
Tc1 0.774 0.213 0.547

---

#2
# Tl2ZnTc, single point on PBEsol structure, DFT SCAN
# - magnetization (μB/f.u.) = 0.0
# - DOS(E_F) (states/eV per cell) = 1.8
data_Tl2ZnTc
_cell_length_a 3.534
_cell_length_b 4.374
_cell_length_c 5.557
_cell_angle_alpha 113.18
_cell_angle_beta 108.54
_cell_angle_gamma 90.00
_symmetry_space_group_name_H-M 'P 1'
_symmetry_Int_Tables_number 1
loop_
_symmetry_equiv_pos_as_xyz
'x,y,z'
loop_
_atom_site_label
_atom_site_fract_x
_atom_site_fract_y
_atom_site_fract_z
Tc1 0.771 0.271 0.543
Zn1 0.473 0.473 0.946
Tl1 0.242 0.742 0.484
Tl2 0.014 0.014 0.028

---

Of them, #2 has the lowest stability.

---

#1
# TlZnTc2, single point on PBEsol structure, DFT SCAN
# - magnetization (μB/f.u.) = 0.0
# - DOS(E_F) (states/eV per cell) = 3.2
data_TlZnTc2
_cell_length_a 2.818
_cell_length_b 2.818
_cell_length_c 9.358
_cell_angle_alpha 90.00
_cell_angle_beta 90.00
_cell_angle_gamma 116.03
_symmetry_space_group_name_H-M 'P 1'
_symmetry_Int_Tables_number 1
loop_
_symmetry_equiv_pos_as_xyz
'x,y,z'
loop_
_atom_site_label
_atom_site_fract_x
_atom_site_fract_y
_atom_site_fract_z
Tc1 0.000 0.000 0.993
Tc2 0.500 0.500 0.779
Tl1 0.000 0.000 0.505
Zn1 0.500 0.500 0.223

---

#2
# TlZnTc2, single point on PBEsol structure, DFT SCAN
# - magnetization (μB/f.u.) = 2.5
# - DOS(E_F) (states/eV per cell) = 3.7
data_TlZnTc2
_cell_length_a 3.846
_cell_length_b 3.846
_cell_length_c 4.245
_cell_angle_alpha 90.00
_cell_angle_beta 90.00
_cell_angle_gamma 90.00
_symmetry_space_group_name_H-M 'P 1'
_symmetry_Int_Tables_number 1
loop_
_symmetry_equiv_pos_as_xyz
'x,y,z'
loop_
_atom_site_label
_atom_site_fract_x
_atom_site_fract_y
_atom_site_fract_z
Tc1 0.500 0.000 0.000
Tc2 0.000 0.500 0.000
Tl1 0.500 0.500 0.500
Zn1 0.000 0.000 0.500

---

Of them, #2 has the lowest stability.

---

#1
# ZrTlTc2, single point on PBEsol structure, DFT SCAN
# - magnetization (μB/f.u.) = 2.0
# - DOS(E_F) (states/eV per cell) = 3.9
data_ZrTlTc2
_cell_length_a 3.355
_cell_length_b 3.355
_cell_length_c 6.158
_cell_angle_alpha 90.00
_cell_angle_beta 90.00
_cell_angle_gamma 90.00
_symmetry_space_group_name_H-M 'P 1'
_symmetry_Int_Tables_number 1
loop_
_symmetry_equiv_pos_as_xyz
'x,y,z'
loop_
_atom_site_label
_atom_site_fract_x
_atom_site_fract_y
_atom_site_fract_z
Tl1 0.500 0.500 0.000
Zr1 0.500 0.500 0.500
Tc1 0.000 0.000 0.262
Tc2 0.000 0.000 0.738

---

#2
# ZrTlTc2, single point on PBEsol structure, DFT SCAN
# - magnetization (μB/f.u.) = 0.0
# - DOS(E_F) (states/eV per cell) = 3.7
data_ZrTlTc2
_cell_length_a 3.286
_cell_length_b 4.471
_cell_length_c 5.456
_cell_angle_alpha 114.18
_cell_angle_beta 107.52
_cell_angle_gamma 90.00
_symmetry_space_group_name_H-M 'P 1'
_symmetry_Int_Tables_number 1
loop_
_symmetry_equiv_pos_as_xyz
'x,y,z'
loop_
_atom_site_label
_atom_site_fract_x
_atom_site_fract_y
_atom_site_fract_z
Tc1 0.012 0.512 0.024
Tc2 0.735 0.735 0.471
Zr1 0.263 0.263 0.526
Tl1 0.490 0.990 0.979

---

Of them, #1 has the lowest stability.

---

#1
# ZrTlTc2, single point on PBEsol structure, DFT SCAN
# - magnetization (μB/f.u.) = 0.0
# - DOS(E_F) (states/eV per cell) = 4.6
data_ZrTlTc2
_cell_length_a 4.614
_cell_length_b 4.614
_cell_length_c 4.614
_cell_angle_alpha 60.00
_cell_angle_beta 60.00
_cell_angle_gamma 60.00
_symmetry_space_group_name_H-M 'P 1'
_symmetry_Int_Tables_number 1
loop_
_symmetry_equiv_pos_as_xyz
'x,y,z'
loop_
_atom_site_label
_atom_site_fract_x
_atom_site_fract_y
_atom_site_fract_z
Tc1 0.750 0.750 0.750
Tc2 0.000 0.000 0.000
Tl1 0.500 0.500 0.500
Zr1 0.250 0.250 0.250

---

#2
# ZrTlTc2, single point on PBEsol structure, DFT SCAN
# - magnetization (μB/f.u.) = 0.0
# - DOS(E_F) (states/eV per cell) = 3.0
data_ZrTlTc2
_cell_length_a 2.875
_cell_length_b 5.264
_cell_length_c 5.433
_cell_angle_alpha 118.08
_cell_angle_beta 103.84
_cell_angle_gamma 92.99
_symmetry_space_group_name_H-M 'P 1'
_symmetry_Int_Tables_number 1
loop_
_symmetry_equiv_pos_as_xyz
'x,y,z'
loop_
_atom_site_label
_atom_site_fract_x
_atom_site_fract_y
_atom_site_fract_z
Tc1 0.500 0.500 0.500
Tc2 0.000 0.000 0.500
Zr1 0.000 0.500 0.000
Tl1 0.500 0.000 0.000

---

Of them, #1 has the lowest stability.

---

#1
# Tc2W, single point on PBEsol structure, DFT SCAN
# - magnetization (μB/f.u.) = 0.0
# - DOS(E_F) (states/eV per cell) = 2.5
data_Tc2W
_cell_length_a 2.755
_cell_length_b 3.848
_cell_length_c 4.774
_cell_angle_alpha 113.77
_cell_angle_beta 106.77
_cell_angle_gamma 90.00
_symmetry_space_group_name_H-M 'P 1'
_symmetry_Int_Tables_number 1
loop_
_symmetry_equiv_pos_as_xyz
'x,y,z'
loop_
_atom_site_label
_atom_site_fract_x
_atom_site_fract_y
_atom_site_fract_z
Tc1 0.829 0.829 0.659
Tc2 0.171 0.171 0.341
W1 0.500 0.500 0.000

---

#2
# Tc2W, single point on PBEsol structure, DFT SCAN
# - magnetization (μB/f.u.) = 0.0
# - DOS(E_F) (states/eV per cell) = 11.9
data_Tc2W
_cell_length_a 4.211
_cell_length_b 5.367
_cell_length_c 7.810
_cell_angle_alpha 90.00
_cell_angle_beta 90.00
_cell_angle_gamma 90.00
_symmetry_space_group_name_H-M 'P 1'
_symmetry_Int_Tables_number 1
loop_
_symmetry_equiv_pos_as_xyz
'x,y,z'
loop_
_atom_site_label
_atom_site_fract_x
_atom_site_fract_y
_atom_site_fract_z
Tc1 0.750 0.465 0.733
Tc2 0.250 0.535 0.267
Tc3 0.750 0.332 0.066
Tc4 0.250 0.168 0.566
Tc5 0.750 0.965 0.767
Tc6 0.250 0.035 0.233
Tc7 0.250 0.668 0.934
Tc8 0.750 0.832 0.434
W1 0.250 0.173 0.904
W2 0.750 0.827 0.096
W3 0.750 0.327 0.404
W4 0.250 0.673 0.596

---

Of them, #1 has the lowest stability.